# 1
Material: TcGeH3
Method: DFT, GGA-PBE
State: relaxed

Unit cell a=3.5066 b=3.5066 c=3.5066 alpha=90.00 beta=90.00 gamma=90.00
Atoms (fractional coordinates):
H  0.5000  0.0000  0.0000
Ge  0.0000  0.0000  0.0000
Tc  0.5000  0.5000  0.5000
H  0.0000  0.5000  0.0000
H  0.0000  0.0000  0.5000

* offset from the most stable computed form: 719 meV per atom
* SG: Pm-3m (221)

=====

# 2
Material: Tc2GeH
Method: DFT, GGA-PBE
State: relaxed

Unit cell a=4.8885 b=4.8885 c=5.7265 alpha=64.73 beta=64.73 gamma=90.00
Atoms (fractional coordinates):
Tc  0.2719  0.6250  0.2500
Tc  0.8750  0.7281  0.7500
H  0.5000  0.5000  0.0000
Ge  0.0000  0.0000  0.0000
Tc  0.4781  0.1250  0.2500
Tc  0.3750  0.5219  0.7500
Ge  0.7500  0.2500  0.5000
H  0.2500  0.7500  0.5000

* offset from the most stable computed form: 550 meV per atom
* SG: I-42d (122)